Record 1
Here is a relaxed Tl4Rh crystal from Alexandria via LeMat-Bulk. Energies are from PBE-GGA.

abc: 5.9630 6.6340 6.6337
angles: 90.00 90.00 90.00
Positions (direct):
Tl: 0.0000 0.8302 0.3190
Tl: 0.5000 0.8302 0.6810
Tl: 0.0000 0.1698 0.6810
Tl: 0.0000 0.6810 0.8302
Tl: 0.5000 0.3190 0.8302
Tl: 0.5000 0.1698 0.3190
Tl: 0.0000 0.3190 0.1698
Rh: 0.2500 0.5000 0.5000
Rh: 0.7500 0.5000 0.5000
Tl: 0.5000 0.6810 0.1698

The total energy is -3.318 eV/atom. As for the total magnetization: 0.00 μB/f.u. For the formation energy, the calculation gives 0.045 eV per atom. The calculation puts the excess energy over the best structure of this formula in the dataset at 1 meV per atom.

Record 2
Here is a relaxed Ce4CdOs crystal from Alexandria via LeMat-Bulk. Energies are from PBE-GGA.

abc: 5.9002 9.0390 7.5025
angles: 117.31 99.98 111.41
Each line ends with the local moment (μB).
Positions (direct):
Os: 0.7465 0.9965 0.9929  -0.04
Ce: 0.0170 0.1600 0.7856  0.33
Ce: 0.2686 0.6256 0.7856  0.33
Cd: 0.6488 0.3988 0.7975  0.00
Ce: 0.3609 0.9376 0.6220  0.22
Cd: 0.3512 0.6012 0.2025  0.00
Ce: 0.9830 0.8400 0.2144  0.33
Ce: 0.6391 0.0624 0.3780  0.22
Os: 0.2535 0.0035 0.0071  -0.04
Ce: 0.2389 0.3156 0.3780  0.22
Ce: 0.7611 0.6844 0.6220  0.22
Ce: 0.7314 0.3744 0.2144  0.33

The total energy is -6.124 eV/atom. As for the total magnetization: 1.27 μB/f.u. For the formation energy, the calculation gives -0.144 eV per atom.

Record 3
Here is a relaxed Sr2Cd2Br crystal from Alexandria via LeMat-Bulk. Energies are from PBE-GGA.

abc: 8.9298 8.9298 4.3808
angles: 90.00 90.00 90.00
Positions (direct):
Br: 0.5000 0.5000 0.0000
Sr: 0.8225 0.3225 0.5000
Sr: 0.3225 0.1775 0.5000
Sr: 0.6775 0.8225 0.5000
Cd: 0.8836 0.6164 0.0000
Cd: 0.6164 0.1164 0.0000
Br: 0.0000 0.0000 0.0000
Sr: 0.1775 0.6775 0.5000
Cd: 0.3836 0.8836 0.0000
Cd: 0.1164 0.3836 0.0000

The total energy is -1.911 eV/atom. The calculation puts the energy relative to the elements, uncorrected at -0.54 eV/atom. As for the total magnetization: 0.00 μB/f.u. The calculation puts the excess energy over the best structure of this formula in the dataset at 116 meV per atom.

Record 4
Here is a relaxed BaFe2SnBr8 crystal from Alexandria via LeMat-Bulk. Energies are from PBE-GGA.

abc: 7.8080 7.8080 9.1693
angles: 90.00 90.00 120.00
Each line ends with the local moment (μB).
Positions (direct):
Sn: 0.0000 0.0000 0.0000  0.05
Br: 0.3240 0.1620 0.2226  0.06
Fe: 0.6667 0.3333 0.3113  3.34
Br: 0.3333 0.6667 0.4326  0.12
Fe: 0.3333 0.6667 0.6887  3.34
Br: 0.6760 0.8380 0.7774  0.06
Ba: 0.0000 0.0000 0.5000  0.01
Br: 0.6667 0.3333 0.5674  0.12
Br: 0.1620 0.3240 0.7774  0.06
Br: 0.8380 0.6760 0.2226  0.06
Br: 0.8380 0.1620 0.2226  0.06
Br: 0.1620 0.8380 0.7774  0.06

The total energy is -3.872 eV/atom. The calculation puts the energy relative to the elements, uncorrected at -0.85 eV/atom. As for the total magnetization: 8.00 μB/f.u.

Record 5
Here is a relaxed Y2Si3Ni12Rh crystal from Alexandria via LeMat-Bulk. Energies are from PBE-GGA.

abc: 6.2721 6.2721 6.2721
angles: 85.35 85.35 85.35
Positions (direct):
Si: 0.0000 0.5000 0.0000
Y: 0.6796 0.6796 0.6796
Ni: 0.3006 0.8082 0.8082
Ni: 0.1093 0.6078 0.6078
Y: 0.3204 0.3204 0.3204
Ni: 0.3922 0.3922 0.8907
Si: 0.0000 0.0000 0.5000
Ni: 0.1918 0.6994 0.1918
Ni: 0.6078 0.1093 0.6078
Rh: 0.0000 0.0000 0.0000
Ni: 0.8082 0.8082 0.3006
Ni: 0.8082 0.3006 0.8082
Ni: 0.6078 0.6078 0.1093
Ni: 0.3922 0.8907 0.3922
Ni: 0.1918 0.1918 0.6994
Ni: 0.6994 0.1918 0.1918
Ni: 0.8907 0.3922 0.3922
Si: 0.5000 0.0000 0.0000

The total energy is -5.962 eV/atom. The calculation puts the energy relative to the elements, uncorrected at -0.08 eV/atom. As for the total magnetization: 0.00 μB/f.u.

Record 6
Here is a relaxed AsOs2Rh crystal from Alexandria via LeMat-Bulk. Energies are from PBE-GGA.

abc: 2.8137 3.6818 5.6729
angles: 90.00 90.00 90.00
Positions (direct):
Os: 0.0000 0.0000 0.4948
Rh: 0.5000 0.5000 0.2500
Os: 0.0000 0.0000 0.0052
As: 0.5000 0.5000 0.7500

The total energy is -8.105 eV/atom. As for the total magnetization: 0.00 μB/f.u. For the formation energy, the calculation gives 0.510 eV per atom.

Record 7
Here is a relaxed TmUTe crystal from Alexandria via LeMat-Bulk. Energies are from PBE-GGA.

abc: 4.2858 4.3012 11.9358
angles: 89.91 90.00 119.88
Each line ends with the local moment (μB).
Positions (direct):
U: 0.1663 0.3326 0.5318  1.17
Te: 0.1651 0.3301 0.8483  0.00
Tm: 0.5021 0.0043 0.2798  -0.01
U: 0.8337 0.6674 0.4682  1.17
Tm: 0.4979 0.9957 0.7202  -0.01
Te: 0.8349 0.6699 0.1517  0.00

The total energy is -6.570 eV/atom. The calculation puts the energy relative to the elements, uncorrected at -0.27 eV/atom. As for the total magnetization: 1.16 μB/f.u.

Record 8
Here is a relaxed Tb3Sm5Y crystal from Alexandria via LeMat-Bulk. Energies are from PBE-GGA.

abc: 9.5915 9.5915 11.7399
angles: 52.77 52.77 74.65
Positions (direct):
Tb: 0.3142 0.3142 0.1778
Sm: 0.5057 0.5057 0.7672
Y: 0.8436 0.8436 0.4072
Tb: 0.6858 0.6858 0.8222
Sm: 0.1532 0.6580 0.7419
Sm: 0.1792 0.1792 0.0457
Tb: 0.0000 0.0000 0.5000
Sm: 0.2542 0.7458 0.0000
Tb: 0.3385 0.3385 0.6464
Sm: 0.4943 0.4943 0.2328
Y: 0.1564 0.1564 0.5928
Tb: 0.6615 0.6615 0.3536
Sm: 0.6580 0.1532 0.7419
Sm: 0.8208 0.8208 0.9543
Sm: 0.8468 0.3420 0.2581
Sm: 0.3420 0.8468 0.2581
Tb: 0.0000 0.0000 0.0000
Sm: 0.7458 0.2542 0.0000

The total energy is -4.388 eV/atom. As for the total magnetization: 0.00 μB/f.u. For the formation energy, the calculation gives 0.496 eV per atom. The calculation puts the excess energy over the best structure of this formula in the dataset at 324 meV per atom.